# CoOs2, relaxed, DFT PBE
data_CoOs2
_chemical_formula_sum 'Co2 Os4'
_cell_length_a 11.526
_cell_length_b 11.526
_cell_length_c 11.526
_cell_angle_alpha 166.64
_cell_angle_beta 166.64
_cell_angle_gamma 18.94
_symmetry_space_group_name_H-M 'P 1'
_symmetry_Int_Tables_number 1
_symmetry_space_group_name_Hall 'P 1'
loop_
_atom_site_label
_atom_site_type_symbol
_atom_site_fract_x
_atom_site_fract_y
_atom_site_fract_z
Co1 Co 0.000 0.000 0.000
Co2 Co 0.750 0.250 0.500
Os1 Os 0.327 0.827 0.500
Os2 Os 0.173 0.673 0.500
Os3 Os 0.577 0.577 0.000
Os4 Os 0.423 0.423 0.000
# energy relative to the lowest polymorph listed for this composition	376	meV per atom
# calculated volume	13.63	A^3/atom
# mass density	17.8	Mg/m³
# size of the total moment	0.245	μB/atom
# formation energy from the elements	40.3	kJ/mol of atoms


# Cs2ErRuO6, relaxed, DFT PBE
data_Cs2ErRuO6
_chemical_formula_sum 'Cs2 Er1 Ru1 O6'
_cell_length_a 5.674
_cell_length_b 6.624
_cell_length_c 6.624
_cell_angle_alpha 120.00
_cell_angle_beta 90.00
_cell_angle_gamma 90.00
_symmetry_space_group_name_H-M 'P 1'
_symmetry_Int_Tables_number 1
_symmetry_space_group_name_Hall 'P 1'
loop_
_atom_site_label
_atom_site_type_symbol
_atom_site_fract_x
_atom_site_fract_y
_atom_site_fract_z
Cs1 Cs 0.155 0.333 0.667
Cs2 Cs 0.845 0.667 0.333
Er1 Er 0.500 0.000 0.000
Ru1 Ru 0.000 0.000 0.000
O1 O 0.792 0.133 0.265
O2 O 0.792 0.133 0.867
O3 O 0.792 0.735 0.867
O4 O 0.208 0.867 0.133
O5 O 0.208 0.265 0.133
O6 O 0.208 0.867 0.735
# calculated volume	21.56	A^3/atom
# mass density	4.9	Mg/m³
# energy relative to the elements, uncorrected	-16.2	eV/f.u.
# size of the total moment	0.103	μB/atom